The following is a PBE calculation of a relaxed BeAl2B crystal, from Alexandria via LeMat-Bulk.

As for the energy above the most stable polymorph in this dataset: 45 meV per atom. The calculation puts the volume at 12.3 Å³/atom. The energy of formation from the pure elements is 143 meV/atom. The symmetry is P1, No. 1. As for the total DFT energy (no corrections): -4.3291 eV/atom.

Cell: 3.4683 5.6412 10.3099 Å, 78.12 89.99 89.97°
Element x y z (fractional)
Be (0.0000, 0.0000, 0.0000)
Be (0.0021, 0.6022, 0.9734)
Be (0.4974, 0.2243, 0.0367)
Be (0.5010, 0.7806, 0.0881)
Al (0.0021, 0.0385, 0.6183)
Al (0.0021, 0.3156, 0.8064)
Al (0.0020, 0.9448, 0.2274)
Al (0.0025, 0.4634, 0.2205)
Al (0.5021, 0.3603, 0.4456)
Al (0.5021, 0.6256, 0.6637)
Al (0.5023, 0.8924, 0.4289)
Al (0.5017, 0.9056, 0.8438)
B (0.0022, 0.1427, 0.3943)
B (0.0020, 0.7062, 0.7792)
B (0.5021, 0.2417, 0.6773)
B (0.5022, 0.6753, 0.2794)